No. 1
A relaxed structure of CsTmPuCl6, computed with PBE-GGA.

Output
Its uncorrected formation energy is -2.08 eV/atom. For the size of the total moment, the calculation gives 6.0 μB/f.u. The density of states at the Fermi level is 15.9 states/eV/f.u. Its volume is 344.0 Å³/f.u.

a b c (Å): 7.1930 7.1930 7.6769
angles (deg): 90.00 90.00 120.00
Space group P312 (No. 149)
Unique sites:
Cs  0.0000  0.0000  0.0000 (multiplicity 1)
Tm  0.6667  0.3333  0.5000 (multiplicity 1)
Pu  0.3333  0.6667  0.5000 (multiplicity 1)
Cl  0.3861  0.0226  0.7002 (multiplicity 6)


No. 2
A relaxed structure of Sr4ScNi, computed with PBE-GGA.

Output
For the size of the total moment, the calculation gives 1.9 μB/f.u. The formation energy comes out at 937 meV per atom. The density of states at the Fermi level is 12.6 states/eV/f.u. Its volume is 247.6 Å³/f.u.

a b c (Å): 9.967 9.967 9.967
angles (deg): 90.00 90.00 90.00
Space group F-43m (No. 216)
Unique sites:
Sr  0.125  0.125  0.125 (multiplicity 16)
Sc  0.000  0.000  0.500 (multiplicity 4)
Ni  0.250  0.250  0.750 (multiplicity 4)


No. 3
A relaxed structure of BaSmAs2S8, computed with PBE-GGA.

Output
Its uncorrected formation energy is -0.67 eV/atom. For the size of the total moment, the calculation gives 0.4 μB/f.u. The density of states at the Fermi level is 12.9 states/eV/f.u. Its volume is 313.5 Å³/f.u.

a b c (Å): 6.1708 6.1708 9.5077
angles (deg): 90.00 90.00 120.00
Space group P-3 (No. 147)
Unique sites:
Ba  0.0000  0.0000  0.0000 (multiplicity 1)
Sm  0.0000  0.0000  0.5000 (multiplicity 1)
As  0.3333  0.6667  0.7573 (multiplicity 2)
S  0.0207  0.6663  0.3053 (multiplicity 6)
S  0.3333  0.6667  0.9861 (multiplicity 2)


No. 4
A relaxed structure of Ho2InGe, computed with PBE-GGA.

Output
For the size of the total moment, the calculation gives 0.0 μB/f.u. The formation energy comes out at -480 meV per atom. The density of states at the Fermi level is 3.7 states/eV/f.u. Its volume is 108.1 Å³/f.u.

a b c (Å): 3.8593 3.8593 25.1432
angles (deg): 90.00 90.00 120.00
Space group R-3m (No. 166, hexagonal axes)
Unique sites:
Ho  0.0000  0.0000  0.2389 (multiplicity 6)
In  0.0000  0.0000  0.0000 (multiplicity 3)
Ge  0.0000  0.0000  0.5000 (multiplicity 3)


No. 5
A relaxed structure of BH4, computed with PBE-GGA.

Output
For the size of the total moment, the calculation gives 0.4 μB/f.u. Its distance to the lowest polymorph of the same formula is 260 meV/atom. The density of states at the Fermi level is 1.7 states/eV/f.u. Its volume is 34.9 Å³/f.u.

a b c (Å): 3.046 3.046 7.527
angles (deg): 90.00 90.00 90.00
Space group I-42m (No. 121)
Unique sites:
B  0.000  0.000  0.000 (multiplicity 2)
H  0.213  0.213  0.112 (multiplicity 8)


No. 6
A relaxed structure of TaTiNb2, computed with PBE-GGA.

Output
For the size of the total moment, the calculation gives 0.0 μB/f.u. Its distance to the lowest polymorph of the same formula is 514 meV/atom. The formation energy comes out at 534 meV per atom. The density of states at the Fermi level is 4.1 states/eV/f.u. Its volume is 76.1 Å³/f.u.

a b c (Å): 2.835 4.963 10.821
angles (deg): 90.00 90.00 90.00
Space group Immm (No. 71)
Unique sites:
Ta  0.000  0.000  0.000 (multiplicity 2)
Ti  0.000  0.000  0.500 (multiplicity 2)
Nb  0.000  0.000  0.254 (multiplicity 4)